1.
DFT (GGA-PBE) results for a relaxed structure of TaTlRe2.

Cell lengths 7.577, 7.577, 6.025 Å; angles 51.04, 51.04, 90.00 degrees
Atoms (fractional coordinates):
Re1 0.584 0.125 0.250
Re2 0.166 0.625 0.250
Re3 0.375 0.416 0.750
Re4 0.875 0.834 0.750
Tl1 0.000 0.000 0.000
Tl2 0.750 0.250 0.500
Ta1 0.500 0.500 0.000
Ta2 0.250 0.750 0.500

Properties
offset from the most stable computed form	0.8543	eV/atom
VASP energy	-8.557	eV per atom

2.
DFT (GGA-PBE) results for a relaxed structure of TaTl2Re.

Cell lengths 5.205, 5.205, 5.205 Å; angles 131.17, 131.17, 71.54 degrees
Atoms (fractional coordinates):
Re1 0.500 0.500 0.000
Ta1 0.750 0.250 0.500
Tl1 0.000 0.000 0.000
Tl2 0.250 0.750 0.500

Properties
offset from the most stable computed form	0.5126	eV/atom
VASP energy	-6.338	eV per atom

3.
DFT (GGA-PBE) results for a relaxed structure of TaTlRe2.

Cell lengths 2.940, 2.940, 8.285 Å; angles 90.00, 90.00, 90.00 degrees
Atoms (fractional coordinates):
Re1 0.000 0.000 0.036
Re2 0.500 0.500 0.230
Ta1 0.000 0.000 0.472
Tl1 0.500 0.500 0.762

Properties
offset from the most stable computed form	0.0000	eV/atom
VASP energy	-9.411	eV per atom

4.
DFT (GGA-PBE) results for a relaxed structure of TaTlRe.

Cell lengths 7.580, 7.320, 3.003 Å; angles 83.28, 73.55, 23.17 degrees
Atoms (fractional coordinates):
Re1 0.013 0.013 0.987
Ta1 0.652 0.652 0.348
Tl1 0.335 0.335 0.665

Properties
offset from the most stable computed form	0.0082	eV/atom
VASP energy	-8.388	eV per atom

5.
DFT (GGA-PBE) results for a relaxed structure of TaTl2Re.

Cell lengths 5.194, 5.194, 4.899 Å; angles 79.86, 79.86, 37.43 degrees
Atoms (fractional coordinates):
Re1 0.750 0.750 0.750
Ta1 0.250 0.250 0.250
Tl1 0.005 0.005 0.994
Tl2 0.495 0.495 0.506

Properties
offset from the most stable computed form	0.4329	eV/atom
VASP energy	-6.417	eV per atom

6.
DFT (GGA-PBE) results for a relaxed structure of TaTl2Re.

Cell lengths 4.546, 4.165, 4.165 Å; angles 90.00, 90.00, 90.00 degrees
Atoms (fractional coordinates):
Re1 0.500 0.500 0.000
Ta1 0.500 0.000 0.500
Tl1 0.000 0.000 0.000
Tl2 0.000 0.500 0.500

Properties
offset from the most stable computed form	0.5937	eV/atom
VASP energy	-6.256	eV per atom

7.
DFT (GGA-PBE) results for a relaxed structure of TaTl2Re.

Cell lengths 5.471, 5.471, 5.471 Å; angles 135.44, 135.44, 64.85 degrees
Each line ends with the local moment (μB).
Atoms (fractional coordinates):
Re1 0.250 0.750 0.500  0.35
Ta1 0.750 0.250 0.500  0.07
Tl1 0.000 0.000 0.000  0.01
Tl2 0.500 0.500 0.000  0.01

Properties
offset from the most stable computed form	0.6290	eV/atom
VASP energy	-6.221	eV per atom

8.
DFT (GGA-PBE) results for a relaxed structure of TaTl2Re.

Cell lengths 3.237, 3.237, 8.538 Å; angles 90.00, 90.00, 90.00 degrees
Atoms (fractional coordinates):
Re1 0.000 0.000 0.543
Ta1 0.500 0.500 0.696
Tl1 0.000 0.000 0.969
Tl2 0.500 0.500 0.292

Properties
offset from the most stable computed form	0.0152	eV/atom
VASP energy	-6.835	eV per atom

9.
DFT (GGA-PBE) results for a relaxed structure of TaTl2Re.

Cell lengths 3.039, 4.468, 5.846 Å; angles 90.00, 90.00, 90.00 degrees
Each line ends with the local moment (μB).
Atoms (fractional coordinates):
Re1 0.500 0.500 0.250  0.75
Ta1 0.500 0.500 0.750  0.04
Tl1 0.000 0.000 0.004  0.01
Tl2 0.000 0.000 0.496  0.01

Properties
offset from the most stable computed form	0.6673	eV/atom
VASP energy	-6.183	eV per atom

10.
DFT (GGA-PBE) results for a relaxed structure of TaTlRe.

Cell lengths 4.698, 4.698, 2.878 Å; angles 90.00, 90.00, 120.00 degrees
Atoms (fractional coordinates):
Re1 0.000 0.000 0.995
Ta1 0.667 0.333 0.284
Tl1 0.333 0.667 0.721

Properties
offset from the most stable computed form	0.1388	eV/atom
VASP energy	-8.258	eV per atom

11.
DFT (GGA-PBE) results for a relaxed structure of TaTlRe3.

Cell lengths 4.808, 4.808, 4.808 Å; angles 90.00, 90.00, 90.00 degrees
Atoms (fractional coordinates):
Re1 0.000 0.500 0.000
Re2 0.000 0.000 0.500
Re3 0.500 0.000 0.000
Tl1 0.000 0.000 0.000
Ta1 0.500 0.500 0.500

Properties
offset from the most stable computed form	0.9251	eV/atom
VASP energy	-7.106	eV per atom

12.
DFT (GGA-PBE) results for a relaxed structure of TaTlRe2.

Cell lengths 3.310, 3.310, 6.410 Å; angles 90.00, 90.00, 90.00 degrees
Atoms (fractional coordinates):
Re1 0.000 0.000 0.024
Re2 0.000 0.000 0.476
Ta1 0.500 0.500 0.250
Tl1 0.500 0.500 0.750

Properties
offset from the most stable computed form	0.1123	eV/atom
VASP energy	-9.299	eV per atom

Look up the offset from the most stable computed form of the seventh one. 0.6290 eV/atom